1.
A relaxed structure of Pr3Ge2Pt4. Source: Alexandria, functional PBE.

Output
E_tot, eV/atom: -6.343
SG: C2/m, No. 12
Energy of formation, eV/atom: -1.039

a = 5.827 Å, b = 5.827 Å, c = 8.820 Å
α = 109.85°, β = 109.85°, γ = 44.92°
Fractional positions:
Pr  0.000  0.000  0.000
Pr  0.365  0.365  0.308
Pr  0.635  0.635  0.692
Ge  0.338  0.338  0.671
Ge  0.662  0.662  0.329
Pt  0.098  0.098  0.416
Pt  0.283  0.283  0.927
Pt  0.717  0.717  0.073
Pt  0.902  0.902  0.584

2.
A relaxed structure of PrGe3Pt3. Source: Alexandria, functional PBE.

Output
E_tot, eV/atom: -5.729
SG: Pm-3n, No. 223
Polymorph energy (0 for the lowest one), eV/atom: 0.112
Energy of formation, eV/atom: -0.478

a = 6.829 Å, b = 6.829 Å, c = 6.829 Å
α = 90.00°, β = 90.00°, γ = 90.00°
Fractional positions:
Pr  0.000  0.000  0.000
Pr  0.500  0.500  0.500
Ge  0.000  0.250  0.500
Ge  0.000  0.750  0.500
Ge  0.250  0.500  0.000
Ge  0.500  0.000  0.250
Ge  0.500  0.000  0.750
Ge  0.750  0.500  0.000
Pt  0.000  0.500  0.250
Pt  0.000  0.500  0.750
Pt  0.250  0.000  0.500
Pt  0.500  0.250  0.000
Pt  0.500  0.750  0.000
Pt  0.750  0.000  0.500

3.
A relaxed structure of PrGe2Pt10. Source: Alexandria, functional PBE.

Output
E_tot, eV/atom: -6.094
SG: Fmmm, No. 69
Energy of formation, eV/atom: -0.369

a = 9.067 Å, b = 7.172 Å, c = 6.774 Å
α = 81.05°, β = 51.39°, γ = 47.56°
Fractional positions:
Pr  0.000  0.000  0.000
Ge  0.000  0.500  0.000
Ge  0.500  0.000  0.500
Pt  0.000  0.000  0.500
Pt  0.005  0.329  0.671
Pt  0.259  0.488  0.512
Pt  0.329  0.005  0.995
Pt  0.488  0.259  0.741
Pt  0.500  0.500  0.000
Pt  0.512  0.741  0.259
Pt  0.671  0.995  0.005
Pt  0.741  0.512  0.488
Pt  0.995  0.671  0.329

4.
A relaxed structure of Pr2Ge3Pt5. Source: Alexandria, functional PBE.

Output
E_tot, eV/atom: -6.079
SG: P-4m2, No. 115
Polymorph energy (0 for the lowest one), eV/atom: 0.130
Energy of formation, eV/atom: -0.717

a = 4.205 Å, b = 4.205 Å, c = 11.362 Å
α = 90.00°, β = 90.00°, γ = 90.00°
Fractional positions:
Pr  0.000  0.500  0.221
Pr  0.500  0.000  0.779
Ge  0.000  0.500  0.633
Ge  0.500  0.000  0.367
Ge  0.500  0.500  0.500
Pt  0.000  0.000  0.000
Pt  0.000  0.000  0.500
Pt  0.000  0.500  0.843
Pt  0.500  0.000  0.157
Pt  0.500  0.500  0.000

5.
A relaxed structure of Pr3Ge4Pt. Source: Alexandria, functional PBE.

Output
E_tot, eV/atom: -5.604
SG: Immm, No. 71
Energy of formation, eV/atom: -0.748

a = 4.555 Å, b = 5.990 Å, c = 14.908 Å
α = 90.00°, β = 90.00°, γ = 90.00°
Fractional positions:
Pr  0.000  0.000  0.000
Pr  0.000  0.500  0.191
Pr  0.000  0.500  0.809
Pr  0.500  0.000  0.309
Pr  0.500  0.000  0.691
Pr  0.500  0.500  0.500
Ge  0.000  0.288  0.378
Ge  0.000  0.288  0.622
Ge  0.000  0.712  0.378
Ge  0.000  0.712  0.622
Ge  0.500  0.212  0.122
Ge  0.500  0.212  0.878
Ge  0.500  0.788  0.122
Ge  0.500  0.788  0.878
Pt  0.000  0.000  0.500
Pt  0.500  0.500  0.000

6.
A relaxed structure of Pr2Ge7Pt12. Source: Alexandria, functional PBE.

Output
E_tot, eV/atom: -6.104
SG: P-6, No. 174
Energy of formation, eV/atom: -0.658

a = 10.209 Å, b = 10.209 Å, c = 4.070 Å
α = 90.00°, β = 90.00°, γ = 120.00°
Fractional positions:
Pr  0.000  0.000  0.000
Pr  0.333  0.667  0.500
Ge  0.060  0.604  0.000
Ge  0.261  0.031  0.500
Ge  0.396  0.456  0.000
Ge  0.544  0.940  0.000
Ge  0.667  0.333  0.000
Ge  0.770  0.739  0.500
Ge  0.969  0.230  0.500
Pt  0.035  0.772  0.500
Pt  0.129  0.401  0.000
Pt  0.228  0.263  0.500
Pt  0.271  0.871  0.000
Pt  0.390  0.203  0.000
Pt  0.534  0.099  0.500
Pt  0.564  0.466  0.500
Pt  0.599  0.729  0.000
Pt  0.737  0.965  0.500
Pt  0.797  0.188  0.000
Pt  0.812  0.610  0.000
Pt  0.901  0.436  0.500

7.
A relaxed structure of Pr3GePt8. Source: Alexandria, functional PBE.

Output
E_tot, eV/atom: -6.506
SG: R3m, No. 160
Energy of formation, eV/atom: -0.900

a = 9.579 Å, b = 9.579 Å, c = 9.579 Å
α = 33.58°, β = 33.58°, γ = 33.58°
Fractional positions:
Pr  0.000  0.000  0.000
Pr  0.132  0.132  0.132
Pr  0.607  0.607  0.607
Ge  0.464  0.464  0.464
Pt  0.050  0.563  0.563
Pt  0.060  0.060  0.566
Pt  0.060  0.566  0.060
Pt  0.310  0.310  0.310
Pt  0.563  0.050  0.563
Pt  0.563  0.563  0.050
Pt  0.566  0.060  0.060
Pt  0.812  0.812  0.812

8.
A relaxed structure of PrGe2Pt8. Source: Alexandria, functional PBE.

Output
E_tot, eV/atom: -5.900
SG: P4/mmm, No. 123
Energy of formation, eV/atom: -0.233

a = 5.437 Å, b = 5.437 Å, c = 7.999 Å
α = 90.00°, β = 90.00°, γ = 90.00°
Fractional positions:
Pr  0.000  0.000  0.000
Ge  0.000  0.500  0.500
Ge  0.500  0.000  0.500
Pt  0.253  0.253  0.291
Pt  0.253  0.253  0.709
Pt  0.253  0.747  0.291
Pt  0.253  0.747  0.709
Pt  0.747  0.253  0.291
Pt  0.747  0.253  0.709
Pt  0.747  0.747  0.291
Pt  0.747  0.747  0.709

9.
A relaxed structure of Pr3GePt. Source: Alexandria, functional PBE.

Output
E_tot, eV/atom: -5.723
SG: Pm, No. 6
Energy of formation, eV/atom: -0.724

a = 7.003 Å, b = 4.291 Å, c = 10.210 Å
α = 90.00°, β = 107.83°, γ = 90.00°
Fractional positions:
Pr  0.000  0.000  0.000
Pr  0.030  0.500  0.392
Pr  0.398  0.000  0.735
Pr  0.435  0.000  0.334
Pr  0.566  0.500  0.055
Pr  0.854  0.000  0.627
Ge  0.134  0.500  0.820
Ge  0.508  0.500  0.548
Pt  0.743  0.500  0.820
Pt  0.796  0.000  0.230

10.
A relaxed structure of Pr2GePt3. Source: Alexandria, functional PBE.

Output
E_tot, eV/atom: -6.398
SG: Pmm2, No. 25
Energy of formation, eV/atom: -1.015

a = 3.884 Å, b = 4.381 Å, c = 7.895 Å
α = 90.00°, β = 90.00°, γ = 90.00°
Fractional positions:
Pr  0.000  0.000  0.000
Pr  0.000  0.500  0.475
Ge  0.500  0.500  0.813
Pt  0.500  0.000  0.329
Pt  0.500  0.000  0.670
Pt  0.500  0.500  0.127

11.
A relaxed structure of PrGePt4. Source: Alexandria, functional PBE.

Output
E_tot, eV/atom: -6.215
SG: F-43m, No. 216
Polymorph energy (0 for the lowest one), eV/atom: 0.115
Energy of formation, eV/atom: -0.622

a = 5.430 Å, b = 5.430 Å, c = 5.430 Å
α = 60.00°, β = 60.00°, γ = 60.00°
Fractional positions:
Pr  0.000  0.000  0.000
Ge  0.750  0.750  0.750
Pt  0.375  0.375  0.375
Pt  0.375  0.375  0.874
Pt  0.375  0.874  0.375
Pt  0.874  0.375  0.375

12.
A relaxed structure of Pr2Ge3Pt5. Source: Alexandria, functional PBE.

Output
E_tot, eV/atom: -6.209
SG: Cmc2_1, No. 36
Polymorph energy (0 for the lowest one), eV/atom: 0.000
Energy of formation, eV/atom: -0.848

a = 12.635 Å, b = 12.635 Å, c = 7.399 Å
α = 90.00°, β = 90.00°, γ = 160.40°
Fractional positions:
Pr  0.042  0.958  0.500
Pr  0.333  0.667  0.718
Pr  0.667  0.333  0.218
Pr  0.958  0.042  0.000
Ge  0.127  0.873  0.800
Ge  0.265  0.735  0.249
Ge  0.462  0.538  0.680
Ge  0.538  0.462  0.180
Ge  0.735  0.265  0.749
Ge  0.873  0.127  0.300
Pt  0.084  0.916  0.101
Pt  0.208  0.792  0.532
Pt  0.218  0.782  0.943
Pt  0.362  0.638  0.123
Pt  0.452  0.548  0.341
Pt  0.548  0.452  0.841
Pt  0.638  0.362  0.623
Pt  0.782  0.218  0.443
Pt  0.792  0.208  0.032
Pt  0.916  0.084  0.601

13.
A relaxed structure of Pr2Ge6Pt. Source: Alexandria, functional PBE.

Output
E_tot, eV/atom: -5.318
SG: P-3m1, No. 164
Polymorph energy (0 for the lowest one), eV/atom: 0.053
Energy of formation, eV/atom: -0.506

a = 6.199 Å, b = 6.199 Å, c = 5.535 Å
α = 90.00°, β = 90.00°, γ = 120.00°
Fractional positions:
Pr  0.333  0.667  0.165
Pr  0.667  0.333  0.835
Ge  0.181  0.362  0.680
Ge  0.181  0.819  0.680
Ge  0.362  0.181  0.320
Ge  0.638  0.819  0.680
Ge  0.819  0.181  0.320
Ge  0.819  0.638  0.320
Pt  0.000  0.000  0.000

14.
A relaxed structure of Pr5Ge5Pt2. Source: Alexandria, functional PBE.

Output
E_tot, eV/atom: -5.792
SG: C2/m, No. 12
Energy of formation, eV/atom: -0.869

a = 8.118 Å, b = 8.118 Å, c = 11.456 Å
α = 128.96°, β = 128.96°, γ = 31.26°
Fractional positions:
Pr  0.000  0.000  0.000
Pr  0.112  0.112  0.421
Pr  0.200  0.200  0.825
Pr  0.800  0.800  0.175
Pr  0.888  0.888  0.579
Ge  0.253  0.253  0.310
Ge  0.441  0.441  0.164
Ge  0.500  0.500  0.500
Ge  0.559  0.559  0.836
Ge  0.747  0.747  0.690
Pt  0.358  0.358  0.744
Pt  0.642  0.642  0.256

15.
A relaxed structure of PrGePt. Source: Alexandria, functional PBE.

Output
E_tot, eV/atom: -6.183
SG: P-6m2, No. 187
Energy of formation, eV/atom: -1.038

a = 4.480 Å, b = 4.480 Å, c = 3.801 Å
α = 90.00°, β = 90.00°, γ = 120.00°
Fractional positions:
Pr  0.000  0.000  0.000
Ge  0.667  0.333  0.500
Pt  0.333  0.667  0.500

16.
A relaxed structure of PrGePt6. Source: Alexandria, functional PBE.

Output
E_tot, eV/atom: -6.101
SG: R-3m, No. 166
Energy of formation, eV/atom: -0.396

a = 7.333 Å, b = 7.333 Å, c = 7.333 Å
α = 43.69°, β = 43.69°, γ = 43.69°
Fractional positions:
Pr  0.000  0.000  0.000
Ge  0.500  0.500  0.500
Pt  0.065  0.577  0.577
Pt  0.423  0.423  0.935
Pt  0.423  0.935  0.423
Pt  0.577  0.065  0.577
Pt  0.577  0.577  0.065
Pt  0.935  0.423  0.423

17.
A relaxed structure of Pr2Ge6Pt. Source: Alexandria, functional PBE.

Output
E_tot, eV/atom: -5.371
SG: Amm2, No. 38
Polymorph energy (0 for the lowest one), eV/atom: 0.000
Energy of formation, eV/atom: -0.559

a = 4.225 Å, b = 11.389 Å, c = 11.389 Å
α = 21.04°, β = 90.00°, γ = 90.00°
Fractional positions:
Pr  0.000  0.000  0.000
Pr  0.000  0.337  0.337
Ge  0.000  0.620  0.620
Ge  0.000  0.732  0.732
Ge  0.500  0.122  0.122
Ge  0.500  0.234  0.234
Ge  0.500  0.448  0.448
Ge  0.500  0.880  0.880
Pt  0.500  0.559  0.559

18.
A relaxed structure of PrGePt. Source: Alexandria, functional PBE.

Output
E_tot, eV/atom: -6.216
SG: Pmmn, No. 59
Energy of formation, eV/atom: -1.070

a = 4.497 Å, b = 14.799 Å, c = 7.711 Å
α = 90.00°, β = 90.00°, γ = 90.00°
Fractional positions:
Pr  0.250  0.003  0.209
Pr  0.250  0.250  0.297
Pr  0.250  0.497  0.209
Pr  0.250  0.750  0.293
Pr  0.750  0.250  0.707
Pr  0.750  0.503  0.791
Pr  0.750  0.750  0.703
Pr  0.750  0.997  0.791
Ge  0.250  0.099  0.590
Ge  0.250  0.401  0.590
Ge  0.250  0.656  0.912
Ge  0.250  0.844  0.912
Ge  0.750  0.156  0.088
Ge  0.750  0.344  0.088
Ge  0.750  0.599  0.410
Ge  0.750  0.901  0.410
Pt  0.250  0.142  0.920
Pt  0.250  0.358  0.920
Pt  0.250  0.599  0.583
Pt  0.250  0.901  0.583
Pt  0.750  0.099  0.417
Pt  0.750  0.401  0.417
Pt  0.750  0.642  0.080
Pt  0.750  0.858  0.080

19.
A relaxed structure of PrPuGePt. Source: Alexandria, functional PBE.

Output
E_tot, eV/atom: -8.064
SG: F-43m, No. 216
Energy of formation, eV/atom: -0.622

a = 7.254 Å, b = 7.254 Å, c = 7.254 Å
α = 90.00°, β = 90.00°, γ = 90.00°
Fractional positions:
Pr  0.000  0.000  0.000
Pr  0.000  0.500  0.500
Pr  0.500  0.000  0.500
Pr  0.500  0.500  0.000
Pu  0.000  0.000  0.500
Pu  0.000  0.500  0.000
Pu  0.500  0.000  0.000
Pu  0.500  0.500  0.500
Ge  0.250  0.250  0.750
Ge  0.250  0.750  0.250
Ge  0.750  0.250  0.250
Ge  0.750  0.750  0.750
Pt  0.250  0.250  0.250
Pt  0.250  0.750  0.750
Pt  0.750  0.250  0.750
Pt  0.750  0.750  0.250

20.
A relaxed structure of Pr2PuGe3Pt4. Source: Alexandria, functional PBE.

Output
E_tot, eV/atom: -7.058
SG: P-4m2, No. 115
Energy of formation, eV/atom: -0.867

a = 4.368 Å, b = 4.368 Å, c = 11.068 Å
α = 90.00°, β = 90.00°, γ = 90.00°
Fractional positions:
Pr  0.000  0.500  0.225
Pr  0.500  0.000  0.775
Pu  0.000  0.000  0.500
Ge  0.000  0.500  0.880
Ge  0.500  0.000  0.120
Ge  0.500  0.500  0.500
Pt  0.000  0.000  0.000
Pt  0.000  0.500  0.658
Pt  0.500  0.000  0.342
Pt  0.500  0.500  0.000